Record 1
A plane-wave DFT calculation with PBE-GGA was carried out for a geometry-optimized SrCd3S structure.

Cell: 6.294 6.294 6.294 Å, 90.00 90.00 90.00°
Positions (direct):
1 Cd 0.500 0.000 0.000
2 S 0.500 0.500 0.500
3 Cd 0.000 0.000 0.500
4 Sr 0.000 0.000 0.000
5 Cd 0.000 0.500 0.000

Calculated values
**Crystal system**: cubic
**Formation energy from raw total energies**: 3.72 eV per formula unit

Record 2
A plane-wave DFT calculation with PBE-GGA was carried out for a geometry-optimized Pm7Y2Er3 structure.

Cell: 3.617 5.904 19.237 Å, 98.83 90.00 90.00°
Positions (direct):
1 Pm 0.000 0.427 0.854
2 Pm 0.000 0.269 0.538
3 Pm 0.000 0.573 0.146
4 Pm 0.000 0.000 0.000
5 Er 0.500 0.349 0.698
6 Y 0.000 0.177 0.354
7 Er 0.500 0.651 0.302
8 Pm 0.500 0.092 0.184
9 Er 0.500 0.500 0.000
10 Y 0.000 0.823 0.646
11 Pm 0.000 0.731 0.462
12 Pm 0.500 0.908 0.816

Calculated values
**Crystal system**: orthorhombic

Number 1: distance to the lowest polymorph of the same formula 0.706 eV/atom. Number 2: distance to the lowest polymorph of the same formula 0.075 eV/atom.